ErSc2Cr | PBE | relaxed

```
data_ErSc2Cr
_chemical_formula_sum 'Er1 Sc2 Cr1'
_cell_length_a 3.338
_cell_length_b 3.338
_cell_length_c 8.152
_cell_angle_alpha 90.00
_cell_angle_beta 90.00
_cell_angle_gamma 90.00
_symmetry_space_group_name_H-M 'P 4/m m m'
_symmetry_Int_Tables_number 123
_symmetry_space_group_name_Hall '-P 4 2'
loop_
_atom_site_label
_atom_site_type_symbol
_atom_site_fract_x
_atom_site_fract_y
_atom_site_fract_z
_atom_site_occupancy
Er1 Er 0.000 0.000 0.000 1
Sc1 Sc 0.500 0.500 0.304 1
Cr1 Cr 0.000 0.000 0.500 1
```

Values from the calculation:
DFT formation energy   0.186 eV per atom


ErScZnCr | PBE | relaxed

```
data_ErScZnCr
_chemical_formula_sum 'Er4 Sc4 Zn4 Cr4'
_cell_length_a 6.895
_cell_length_b 6.895
_cell_length_c 6.895
_cell_angle_alpha 90.00
_cell_angle_beta 90.00
_cell_angle_gamma 90.00
_symmetry_space_group_name_H-M 'F -4 3 m'
_symmetry_Int_Tables_number 216
_symmetry_space_group_name_Hall 'F -4 2 3'
loop_
_atom_site_label
_atom_site_type_symbol
_atom_site_fract_x
_atom_site_fract_y
_atom_site_fract_z
_atom_site_occupancy
Er1 Er 0.000 0.000 0.000 1
Sc1 Sc 0.000 0.000 0.500 1
Zn1 Zn 0.250 0.250 0.250 1
Cr1 Cr 0.250 0.250 0.750 1
```

Values from the calculation:
DFT formation energy   0.002 eV per atom


Er4CrSe7 | PBE | relaxed

```
data_Er4CrSe7
_chemical_formula_sum 'Er8 Cr2 Se14'
_cell_length_a 12.960
_cell_length_b 3.940
_cell_length_c 11.939
_cell_angle_alpha 90.00
_cell_angle_beta 106.21
_cell_angle_gamma 90.00
_symmetry_space_group_name_H-M 'C 1 m 1'
_symmetry_Int_Tables_number 8
loop_
_symmetry_equiv_pos_as_xyz
'x,y,z'
'x,-y,z'
'x+1/2,y+1/2,z'
'x+1/2,-y+1/2,z'
loop_
_atom_site_label
_atom_site_type_symbol
_atom_site_fract_x
_atom_site_fract_y
_atom_site_fract_z
_atom_site_occupancy
Er1 Er 0.000 0.000 0.000 1
Er2 Er 0.065 0.500 0.342 1
Er3 Er 0.195 0.500 0.782 1
Er4 Er 0.387 0.000 0.587 1
Cr1 Cr 0.295 0.500 0.201 1
Se1 Se 0.034 0.000 0.725 1
Se2 Se 0.157 0.500 0.001 1
Se3 Se 0.169 0.000 0.247 1
Se4 Se 0.224 0.500 0.558 1
Se5 Se 0.358 0.000 0.833 1
Se6 Se 0.406 0.000 0.132 1
Se7 Se 0.432 0.500 0.413 1
```

Values from the calculation:
Raw formation energy   -1.56 eV per atom


Number 1: density 5.65 g cm⁻³, uncorrected energy -26.1 eV per cell. Number 2: density 6.68 g cm⁻³, uncorrected energy -87.1 eV per cell. Number 3: density 7.23 g cm⁻³, uncorrected energy -141.9 eV per cell.